Entry 1:
! Pr2Ho2In3 (PBE-GGA, relaxed); values from VASP
! Symmetry: No. 12
! ΔH_f (0 K): -0.351 eV per atom
&SYSTEM
  ibrav = 0, nat = 7, ntyp = 3
/
ATOMIC_SPECIES
Pr 140.91 Pr.upf
Ho 164.93 Ho.upf
In 114.82 In.upf
CELL_PARAMETERS angstrom
7.5655 -1.8481 0.0000
7.5655 1.8481 0.0000
-4.0062 0.0000 7.4487
ATOMIC_POSITIONS crystal
Pr 0.1291 0.1291 0.3172
Pr 0.8709 0.8709 0.6828
Ho 0.1842 0.1842 0.7827
Ho 0.8158 0.8158 0.2173
In 0.4178 0.4178 0.0489
In 0.5000 0.5000 0.5000
In 0.5822 0.5822 0.9511


Entry 2:
! BeHgS2 (PBE-GGA, relaxed); values from VASP
! Energy relative to the elements, uncorrected: -195 meV per atom
! Symmetry: No. 14
&SYSTEM
  ibrav = 0, nat = 16, ntyp = 3
/
ATOMIC_SPECIES
Be 9.01 Be.upf
Hg 200.59 Hg.upf
S 32.06 S.upf
CELL_PARAMETERS angstrom
10.8020 0.0000 0.0000
0.0000 3.6000 0.0000
-6.4994 0.0000 10.4084
ATOMIC_POSITIONS crystal
Be 0.2169 0.2372 0.0422
Be 0.2169 0.2628 0.5422
Be 0.7831 0.7372 0.4578
Be 0.7831 0.7628 0.9578
Hg 0.2832 0.1840 0.2562
Hg 0.2832 0.3160 0.7562
Hg 0.7168 0.6840 0.2438
Hg 0.7168 0.8160 0.7438
S 0.1357 0.7429 0.9395
S 0.1357 0.7571 0.4395
S 0.3434 0.5275 0.9936
S 0.3434 0.9725 0.4936
S 0.6566 0.0275 0.5064
S 0.6566 0.4725 0.0064
S 0.8643 0.2429 0.5605
S 0.8643 0.2571 0.0605


no.,calculated total energy (eV/atom),size of the total moment (μB/atom),distance to the lowest polymorph of the same formula (eV per atom)
1,-4.1979,0.00,0.000
2,-3.2658,0.00,0.362